[1]
Here is crystalline K3In2GaI6 at its relaxed geometry from Alexandria. Energies are from PBE.

Cell and atoms, written as POSCAR:
```
K3In2GaI6
1.0
10.8824 -2.4908 0.0000
10.8824 2.4908 0.0000
-2.3090 0.0000 9.7349
K In Ga I
3 2 1 6
direct
0.0000 0.0000 0.0000 K
0.3320 0.3320 0.6662 K
0.6680 0.6680 0.3338 K
0.3352 0.3352 0.1692 In
0.6648 0.6648 0.8308 In
0.0000 0.0000 0.5000 Ga
0.1613 0.1613 0.5811 I
0.1664 0.1664 0.0824 I
0.4998 0.4998 0.2638 I
0.5002 0.5002 0.7362 I
0.8336 0.8336 0.9176 I
0.8387 0.8387 0.4189 I
```

As for the density of states at the Fermi level: 0.00 states/eV/f.u. The spin magnetization comes out at 0.00 μB/f.u. For the raw formation energy, the calculation gives -0.938 eV/atom. The space group is C2/m, No. 12. For the total DFT energy (no corrections), the calculation gives -32.4 eV per formula unit.

[2]
Here is crystalline KIn2GaI8 at its relaxed geometry from Alexandria. Energies are from PBE.

Cell and atoms, written as POSCAR:
```
KIn2GaI8
1.0
7.7382 0.0000 0.0000
-3.8691 6.7014 0.0000
0.0000 0.0000 11.3263
K In Ga I
1 2 1 8
direct
0.0000 0.0000 0.0000 K
0.3333 0.6667 0.7620 In
0.6667 0.3333 0.2380 In
0.0000 0.0000 0.5000 Ga
0.0055 0.6776 0.3110 I
0.3224 0.3279 0.3110 I
0.3279 0.0055 0.6890 I
0.3333 0.6667 0.0048 I
0.6667 0.3333 0.9952 I
0.6721 0.9945 0.3110 I
0.6776 0.6721 0.6890 I
0.9945 0.3224 0.6890 I
```

As for the density of states at the Fermi level: 0.00 states/eV/f.u. The spin magnetization comes out at 0.00 μB/f.u. For the raw formation energy, the calculation gives -0.631 eV/atom. The space group is P-3, No. 147. For the total DFT energy (no corrections), the calculation gives -29.6 eV per formula unit.

[3]
Here is crystalline KIn3Ga2I6 at its relaxed geometry from Alexandria. Energies are from PBE.

Cell and atoms, written as POSCAR:
```
KIn3Ga2I6
1.0
10.6778 -2.4421 0.0000
10.6778 2.4421 0.0000
-2.2615 0.0000 9.5507
K In Ga I
1 3 2 6
direct
0.0000 0.0000 0.0000 K
0.0000 0.0000 0.5000 In
0.3347 0.3347 0.1700 In
0.6653 0.6653 0.8300 In
0.3308 0.3308 0.6639 Ga
0.6692 0.6692 0.3361 Ga
0.1702 0.1702 0.0967 I
0.1710 0.1710 0.5749 I
0.4930 0.4930 0.7450 I
0.5070 0.5070 0.2550 I
0.8290 0.8290 0.4251 I
0.8298 0.8298 0.9033 I
```

As for the density of states at the Fermi level: 0.00 states/eV/f.u. The spin magnetization comes out at 0.00 μB/f.u. For the raw formation energy, the calculation gives -0.581 eV/atom. The space group is C2/m, No. 12. For the total DFT energy (no corrections), the calculation gives -31.6 eV per formula unit.